[1]
# NpBeB

An optimized crystal structure of NpBeB (PBE, OQMD).

Values from the calculation:
The calculation puts the total energy at -0.540 Ry/atom. As for the spin magnetization: 15.93 Bohr magnetons per cell. The crystal system is cubic. For the offset from the most stable computed form, the calculation gives 0.000 eV/atom. The volume is 14.76 Å³ per atom.

abc: 5.6158 5.6158 5.6158
angles: 90.00 90.00 90.00
Space group F-43m (No. 216)
One atom of each set of equivalent atoms:
Np: 0.0000 0.0000 0.0000 (multiplicity 4)
Be: 0.0000 0.0000 0.5000 (multiplicity 4)
B: 0.2500 0.2500 0.7500 (multiplicity 4)

[2]
# Be2BOs

An optimized crystal structure of Be2BOs (PBE, OQMD).

Values from the calculation:
The calculation puts the total energy at -0.452 Ry/atom. As for the spin magnetization: 0.00 Bohr magnetons per cell. The crystal system is cubic. The volume is 9.22 Å³ per atom.

abc: 5.2837 5.2837 5.2837
angles: 90.00 90.00 90.00
Space group F-43m (No. 216)
One atom of each set of equivalent atoms:
Be: 0.0000 0.0000 0.0000 (multiplicity 4)
Be: 0.2500 0.2500 0.2500 (multiplicity 4)
B: 0.0000 0.0000 0.5000 (multiplicity 4)
Os: 0.2500 0.2500 0.7500 (multiplicity 4)

[3]
# BeBOs

An optimized crystal structure of BeBOs (PBE, OQMD).

Values from the calculation:
The calculation puts the total energy at -0.489 Ry/atom. As for the spin magnetization: 0.00 Bohr magnetons per cell. The crystal system is cubic. For the offset from the most stable computed form, the calculation gives 0.825 eV/atom. The volume is 11.20 Å³ per atom.

abc: 5.1221 5.1221 5.1221
angles: 90.00 90.00 90.00
Space group F-43m (No. 216)
One atom of each set of equivalent atoms:
Be: 0.0000 0.0000 0.0000 (multiplicity 4)
B: 0.0000 0.0000 0.5000 (multiplicity 4)
Os: 0.2500 0.2500 0.7500 (multiplicity 4)

[4]
# BeBOs

An optimized crystal structure of BeBOs (PBE, OQMD).

Values from the calculation:
The calculation puts the total energy at -0.550 Ry/atom. As for the spin magnetization: 0.00 Bohr magnetons per cell. The crystal system is monoclinic. For the offset from the most stable computed form, the calculation gives 0.000 eV/atom. The volume is 9.50 Å³ per atom.

abc: 7.7465 2.9213 5.6375
angles: 90.00 116.73 90.00
Space group C2/m (No. 12)
One atom of each set of equivalent atoms:
Be: 0.1271 0.0000 0.4184 (multiplicity 4)
B: 0.1210 0.5000 0.1502 (multiplicity 4)
Os: 0.1447 0.5000 0.7752 (multiplicity 4)

[5]
# BeB4Os

An optimized crystal structure of BeB4Os (PBE, OQMD).

Values from the calculation:
The calculation puts the total energy at -0.499 Ry/atom. As for the spin magnetization: 0.00 Bohr magnetons per cell. The crystal system is orthorhombic. For the offset from the most stable computed form, the calculation gives 0.000 eV/atom. The volume is 7.99 Å³ per atom.

abc: 2.9089 5.1427 6.4124
angles: 90.00 90.00 90.00
Space group Immm (No. 71)
One atom of each set of equivalent atoms:
Be: 0.0000 0.0000 0.0000 (multiplicity 2)
B: 0.0000 0.3377 0.2652 (multiplicity 8)
Os: 0.0000 0.0000 0.5000 (multiplicity 2)

[6]
# BeB4Os

An optimized crystal structure of BeB4Os (PBE, OQMD).

Values from the calculation:
The calculation puts the total energy at -0.490 Ry/atom. As for the spin magnetization: 0.01 Bohr magnetons per cell. The crystal system is hexagonal. For the offset from the most stable computed form, the calculation gives 0.122 eV/atom. The volume is 7.98 Å³ per atom.

abc: 2.9207 2.9207 6.4794
angles: 90.00 90.00 120.00
Space group P6/mmm (No. 191)
One atom of each set of equivalent atoms:
Be: 0.0000 0.0000 0.0000 (multiplicity 1)
B: 0.3333 0.6667 0.2211 (multiplicity 4)
Os: 0.0000 0.0000 0.5000 (multiplicity 1)

[7]
# BeBPd

An optimized crystal structure of BeBPd (PBE, OQMD).

Values from the calculation:
The calculation puts the total energy at -0.379 Ry/atom. The crystal system is cubic. For the offset from the most stable computed form, the calculation gives 0.000 eV/atom. The volume is 10.59 Å³ per atom.

abc: 5.0274 5.0274 5.0274
angles: 90.00 90.00 90.00
Space group F-43m (No. 216)
One atom of each set of equivalent atoms:
Be: 0.0000 0.0000 0.0000 (multiplicity 4)
B: 0.2500 0.2500 0.2500 (multiplicity 4)
Pd: 0.0000 0.0000 0.5000 (multiplicity 4)

[8]
# BeB4Pd

An optimized crystal structure of BeB4Pd (PBE, OQMD).

Values from the calculation:
The calculation puts the total energy at -0.426 Ry/atom. The crystal system is hexagonal. For the offset from the most stable computed form, the calculation gives 0.000 eV/atom. The volume is 8.26 Å³ per atom.

abc: 2.9677 2.9677 6.4970
angles: 90.00 90.00 120.00
Space group P6/mmm (No. 191)
One atom of each set of equivalent atoms:
Be: 0.0000 0.0000 0.0000 (multiplicity 1)
B: 0.3333 0.6667 0.2086 (multiplicity 4)
Pd: 0.0000 0.0000 0.5000 (multiplicity 1)

[9]
# BeBPd

An optimized crystal structure of BeBPd (PBE, OQMD).

Values from the calculation:
The calculation puts the total energy at -0.356 Ry/atom. The crystal system is cubic. For the offset from the most stable computed form, the calculation gives 0.311 eV/atom. The volume is 11.52 Å³ per atom.

abc: 5.1710 5.1710 5.1710
angles: 90.00 90.00 90.00
Space group F-43m (No. 216)
One atom of each set of equivalent atoms:
Be: 0.0000 0.0000 0.0000 (multiplicity 4)
B: 0.0000 0.0000 0.5000 (multiplicity 4)
Pd: 0.2500 0.2500 0.7500 (multiplicity 4)

[10]
# BeB4Pd

An optimized crystal structure of BeB4Pd (PBE, OQMD).

Values from the calculation:
The calculation puts the total energy at -0.419 Ry/atom. The crystal system is orthorhombic. For the offset from the most stable computed form, the calculation gives 0.088 eV/atom. The volume is 8.49 Å³ per atom.

abc: 2.9554 5.1854 6.6468
angles: 90.00 90.00 90.00
Space group Immm (No. 71)
One atom of each set of equivalent atoms:
Be: 0.0000 0.0000 0.0000 (multiplicity 2)
B: 0.0000 0.3344 0.2665 (multiplicity 8)
Pd: 0.0000 0.0000 0.5000 (multiplicity 2)

[11]
# ScBeBPd

An optimized crystal structure of ScBeBPd (PBE, OQMD).

Values from the calculation:
The calculation puts the total energy at -0.402 Ry/atom. As for the spin magnetization: 0.00 Bohr magnetons per cell. The crystal system is cubic. For the offset from the most stable computed form, the calculation gives 0.207 eV/atom. The volume is 12.87 Å³ per atom.

abc: 5.9049 5.9049 5.9049
angles: 90.00 90.00 90.00
Space group F-43m (No. 216)
One atom of each set of equivalent atoms:
Sc: 0.0000 0.0000 0.0000 (multiplicity 4)
Be: 0.0000 0.0000 0.5000 (multiplicity 4)
B: 0.2500 0.2500 0.2500 (multiplicity 4)
Pd: 0.2500 0.2500 0.7500 (multiplicity 4)

[12]
# ScBeBPd

An optimized crystal structure of ScBeBPd (PBE, OQMD).

Values from the calculation:
The calculation puts the total energy at -0.394 Ry/atom. As for the spin magnetization: 0.00 Bohr magnetons per cell. The crystal system is cubic. For the offset from the most stable computed form, the calculation gives 0.320 eV/atom. The volume is 12.46 Å³ per atom.

abc: 5.8424 5.8424 5.8424
angles: 90.00 90.00 90.00
Space group F-43m (No. 216)
One atom of each set of equivalent atoms:
Sc: 0.0000 0.0000 0.0000 (multiplicity 4)
Be: 0.2500 0.2500 0.2500 (multiplicity 4)
B: 0.0000 0.0000 0.5000 (multiplicity 4)
Pd: 0.2500 0.2500 0.7500 (multiplicity 4)

[13]
# ScBeBPd

An optimized crystal structure of ScBeBPd (PBE, OQMD).

Values from the calculation:
The calculation puts the total energy at -0.417 Ry/atom. As for the spin magnetization: 0.00 Bohr magnetons per cell. The crystal system is cubic. For the offset from the most stable computed form, the calculation gives 0.000 eV/atom. The volume is 11.96 Å³ per atom.

abc: 5.7628 5.7628 5.7628
angles: 90.00 90.00 90.00
Space group F-43m (No. 216)
One atom of each set of equivalent atoms:
Sc: 0.0000 0.0000 0.0000 (multiplicity 4)
Be: 0.2500 0.2500 0.2500 (multiplicity 4)
B: 0.2500 0.2500 0.7500 (multiplicity 4)
Pd: 0.0000 0.0000 0.5000 (multiplicity 4)

[14]
# BeTlBPd

An optimized crystal structure of BeTlBPd (PBE, OQMD).

Values from the calculation:
The calculation puts the total energy at -0.267 Ry/atom. The crystal system is cubic. For the offset from the most stable computed form, the calculation gives 0.000 eV/atom. The volume is 13.73 Å³ per atom.

abc: 6.0341 6.0341 6.0341
angles: 90.00 90.00 90.00
Space group F-43m (No. 216)
One atom of each set of equivalent atoms:
Be: 0.0000 0.0000 0.0000 (multiplicity 4)
Tl: 0.2500 0.2500 0.2500 (multiplicity 4)
B: 0.0000 0.0000 0.5000 (multiplicity 4)
Pd: 0.2500 0.2500 0.7500 (multiplicity 4)

[15]
# BeTlBPd

An optimized crystal structure of BeTlBPd (PBE, OQMD).

Values from the calculation:
The calculation puts the total energy at -0.254 Ry/atom. The crystal system is cubic. For the offset from the most stable computed form, the calculation gives 0.172 eV/atom. The volume is 14.72 Å³ per atom.

abc: 6.1758 6.1758 6.1758
angles: 90.00 90.00 90.00
Space group F-43m (No. 216)
One atom of each set of equivalent atoms:
Be: 0.0000 0.0000 0.0000 (multiplicity 4)
Tl: 0.2500 0.2500 0.2500 (multiplicity 4)
B: 0.2500 0.2500 0.7500 (multiplicity 4)
Pd: 0.0000 0.0000 0.5000 (multiplicity 4)